HfScNbRe: optimized geometry, PBE.

Lattice parameters (Å, degrees): 6.657 6.657 6.657 90.00 90.00 90.00
Fractional coordinates of all 16 atoms:
1 Hf 0.000 0.000 0.000
2 Hf 0.000 0.500 0.500
3 Hf 0.500 0.000 0.500
4 Hf 0.500 0.500 0.000
5 Sc 0.250 0.250 0.250
6 Sc 0.250 0.750 0.750
7 Sc 0.750 0.250 0.750
8 Sc 0.750 0.750 0.250
9 Nb 0.000 0.000 0.500
10 Nb 0.000 0.500 0.000
11 Nb 0.500 0.000 0.000
12 Nb 0.500 0.500 0.500
13 Re 0.250 0.250 0.750
14 Re 0.250 0.750 0.250
15 Re 0.750 0.250 0.250
16 Re 0.750 0.750 0.750

Output
Volume in Å³ per cell: 294.9
DOS(E_F) in states/eV/cell: 20.13
Energy relative to the elements in eV/atom: -0.047
Symmetry: F-43m